1.
Here is an optimized crystal structure of Ca2IrSeN from Alexandria. Energies are from PBE.

Lattice parameters (Å, degrees): 5.195 5.195 3.745 90.00 90.00 90.00
Element x y z (fractional)
1 Ca 0.000 0.500 0.000
2 Ca 0.500 0.000 0.000
3 Ir 0.000 0.000 0.500
4 Se 0.500 0.500 0.500
5 N 0.000 0.000 0.000

## Properties
The value obtained for the energy relative to the lowest polymorph listed for this composition is 0.000 eV per atom. Its uncorrected formation energy is -1025 meV/atom. The calculation puts the total energy at -5.96 eV per atom. Its space-group type is P4/mmm.

***

2.
Here is an optimized crystal structure of CaIrSeN2 from Alexandria. Energies are from PBE.

Lattice parameters (Å, degrees): 4.279 4.279 5.890 90.00 90.00 90.00
Element x y z (fractional)
1 Ca 0.000 0.000 0.000
2 Ir 0.500 0.500 0.500
3 Se 0.000 0.000 0.500
4 N 0.000 0.500 0.000
5 N 0.500 0.000 0.000

## Properties
The value obtained for the energy relative to the lowest polymorph listed for this composition is 1.981 eV per atom. Its uncorrected formation energy is 2031 meV/atom. The calculation puts the total energy at -4.17 eV per atom. Its space-group type is P4/mmm.

***

3.
Here is an optimized crystal structure of Ca2SnIrN from Alexandria. Energies are from PBE.

Lattice parameters (Å, degrees): 5.278 5.278 3.780 90.00 90.00 90.00
Element x y z (fractional)
1 Ca 0.000 0.500 0.000
2 Ca 0.500 0.000 0.000
3 Ir 0.000 0.000 0.500
4 Sn 0.500 0.500 0.500
5 N 0.000 0.000 0.000

## Properties
Its uncorrected formation energy is -574 meV/atom. The calculation puts the total energy at -5.61 eV per atom. Its space-group type is P4/mmm.

***

4.
Here is an optimized crystal structure of SrCaIrN2 from Alexandria. Energies are from PBE.

Lattice parameters (Å, degrees): 5.085 5.661 7.131 90.09 90.00 90.00
Element x y z (fractional)
1 Sr 0.001 0.500 0.750
2 Sr 0.999 0.500 0.250
3 Ca 0.500 0.000 0.250
4 Ca 0.500 0.000 0.750
5 Ir 0.000 0.000 0.000
6 Ir 0.000 0.000 0.500
7 N 0.745 0.764 0.000
8 N 0.745 0.236 0.500
9 N 0.255 0.764 0.500
10 N 0.255 0.236 0.000

## Properties
Its uncorrected formation energy is -400 meV/atom. The calculation puts the total energy at -6.24 eV per atom. Its space-group type is P2/c.

***

5.
Here is an optimized crystal structure of CaTe2IrN from Alexandria. Energies are from PBE.

Lattice parameters (Å, degrees): 4.674 4.488 4.674 90.00 90.00 90.00
Element x y z (fractional)
1 Ca 0.000 0.500 0.000
2 Ir 0.500 0.500 0.500
3 Te 0.000 0.000 0.500
4 Te 0.500 0.000 0.000
5 N 0.000 0.000 0.000

## Properties
The value obtained for the energy relative to the lowest polymorph listed for this composition is 0.605 eV per atom. Its uncorrected formation energy is 314 meV/atom. The calculation puts the total energy at -4.78 eV per atom. Its space-group type is P4/mmm.

***

6.
Here is an optimized crystal structure of CaTe2IrN from Alexandria. Energies are from PBE.

Lattice parameters (Å, degrees): 5.699 5.699 3.864 90.00 90.00 90.00
Element x y z (fractional)
1 Ca 0.000 0.000 0.000
2 Ir 0.500 0.500 0.500
3 Te 0.000 0.500 0.000
4 Te 0.500 0.000 0.000
5 N 0.000 0.000 0.500

## Properties
The value obtained for the energy relative to the lowest polymorph listed for this composition is 1.801 eV per atom. Its uncorrected formation energy is 1511 meV/atom. The calculation puts the total energy at -3.58 eV per atom. Its space-group type is P4/mmm.

***

7.
Here is an optimized crystal structure of CaTe2IrN from Alexandria. Energies are from PBE.

Lattice parameters (Å, degrees): 5.659 5.659 3.712 90.00 90.00 90.00
Element x y z (fractional)
1 Ca 0.500 0.500 0.500
2 Ir 0.000 0.000 0.000
3 Te 0.000 0.500 0.000
4 Te 0.500 0.000 0.000
5 N 0.000 0.000 0.500

## Properties
The value obtained for the energy relative to the lowest polymorph listed for this composition is 0.000 eV per atom. Its uncorrected formation energy is -291 meV/atom. The calculation puts the total energy at -5.38 eV per atom. Its space-group type is P4/mmm.

***

8.
Here is an optimized crystal structure of Ca2TlIrN from Alexandria. Energies are from PBE.

Lattice parameters (Å, degrees): 5.174 5.174 3.843 90.00 90.00 90.00
Element x y z (fractional)
1 Tl 0.500 0.500 0.500
2 Ir 0.000 0.000 0.500
3 Ca 0.000 0.500 0.000
4 Ca 0.500 0.000 0.000
5 N 0.000 0.000 0.000

## Properties
Its uncorrected formation energy is -542 meV/atom. The calculation puts the total energy at -5.25 eV per atom. Its space-group type is P4/mmm.

***

9.
Here is an optimized crystal structure of CaVIr2N from Alexandria. Energies are from PBE.

Lattice parameters (Å, degrees): 4.251 4.020 4.251 90.00 90.00 90.00
Element x y z (fractional)
1 N 0.000 0.000 0.000
2 Ca 0.500 0.500 0.500
3 Ir 0.000 0.000 0.500
4 Ir 0.500 0.000 0.000
5 V 0.000 0.500 0.000

## Properties
Its uncorrected formation energy is 77 meV/atom. The calculation puts the total energy at -7.36 eV per atom. Its space-group type is P4/mmm.

***

10.
Here is an optimized crystal structure of NaCa3Ir from Alexandria. Energies are from PBE.

Lattice parameters (Å, degrees): 7.712 7.712 8.099 89.96 61.81 59.99
Element x y z (fractional)
1 Na 0.879 0.515 0.493
2 Na 0.547 0.682 0.986
3 Ca 0.381 0.011 0.486
4 Ca 0.046 0.679 0.993
5 Ca 0.542 0.184 0.993
6 Ca 0.046 0.185 0.993
7 Ca 0.381 0.517 0.486
8 Ca 0.885 0.012 0.486
9 Ir 0.044 0.933 0.744
10 Ir 0.383 0.263 0.735

## Properties
The value obtained for the energy relative to the lowest polymorph listed for this composition is 0.101 eV per atom. The calculation puts the total energy at -3.32 eV per atom. Its space-group type is P-1. As for the energy of formation from the pure elements: -0.087 eV per atom.

***

11.
Here is an optimized crystal structure of NaCaIr2 from Alexandria. Energies are from PBE.

Lattice parameters (Å, degrees): 4.712 4.712 4.712 60.00 60.00 60.00
Element x y z (fractional)
1 Na 0.000 0.000 0.000
2 Ca 0.500 0.500 0.500
3 Ir 0.250 0.250 0.250
4 Ir 0.750 0.750 0.750

## Properties
The value obtained for the energy relative to the lowest polymorph listed for this composition is 0.051 eV per atom. The calculation puts the total energy at -4.72 eV per atom. Its space-group type is Fm-3m. As for the energy of formation from the pure elements: 0.543 eV per atom.

***

12.
Here is an optimized crystal structure of Na3CaIr from Alexandria. Energies are from PBE.

Lattice parameters (Å, degrees): 5.438 5.438 5.438 90.00 90.00 90.00
Element x y z (fractional)
1 Na 0.000 0.500 0.000
2 Na 0.000 0.000 0.500
3 Na 0.500 0.000 0.000
4 Ca 0.000 0.000 0.000
5 Ir 0.500 0.500 0.500

## Properties
The value obtained for the energy relative to the lowest polymorph listed for this composition is 0.978 eV per atom. The calculation puts the total energy at -1.38 eV per atom. Its space-group type is Pm-3m. As for the energy of formation from the pure elements: 1.582 eV per atom.

***

13.
Here is an optimized crystal structure of Na2CaIr from Alexandria. Energies are from PBE.

Lattice parameters (Å, degrees): 4.166 4.166 11.627 79.68 79.68 90.00
Element x y z (fractional)
1 Na 0.658 0.125 0.250
2 Na 0.092 0.625 0.250
3 Na 0.375 0.342 0.750
4 Na 0.875 0.908 0.750
5 Ca 0.500 0.500 0.000
6 Ca 0.250 0.750 0.500
7 Ir 0.000 0.000 0.000
8 Ir 0.750 0.250 0.500

## Properties
The value obtained for the energy relative to the lowest polymorph listed for this composition is 0.000 eV per atom. The calculation puts the total energy at -3.05 eV per atom. Its space-group type is I-42d. As for the energy of formation from the pure elements: 0.325 eV per atom.

***

14.
Here is an optimized crystal structure of Na2CaIr from Alexandria. Energies are from PBE.

Lattice parameters (Å, degrees): 4.988 4.988 4.988 60.00 60.00 60.00
Element x y z (fractional)
1 Na 0.250 0.250 0.250
2 Na 0.750 0.750 0.750
3 Ca 0.000 0.000 0.000
4 Ir 0.500 0.500 0.500

## Properties
The value obtained for the energy relative to the lowest polymorph listed for this composition is 0.027 eV per atom. The calculation puts the total energy at -3.02 eV per atom. Its space-group type is Fm-3m. As for the energy of formation from the pure elements: 0.353 eV per atom.

***

15.
Here is an optimized crystal structure of NaCa3Ir from Alexandria. Energies are from PBE.

Lattice parameters (Å, degrees): 6.079 6.079 9.770 100.77 100.74 113.60
Element x y z (fractional)
1 Na 0.719 0.219 0.500
2 Na 0.281 0.781 0.500
3 Ca 0.291 0.791 0.081
4 Ca 0.709 0.209 0.919
5 Ca 0.062 0.182 0.244
6 Ca 0.938 0.818 0.756
7 Ca 0.682 0.562 0.245
8 Ca 0.318 0.438 0.755
9 Ir 0.251 0.251 0.000
10 Ir 0.749 0.749 0.000

## Properties
The value obtained for the energy relative to the lowest polymorph listed for this composition is 0.012 eV per atom. The calculation puts the total energy at -3.41 eV per atom. Its space-group type is Fmmm. As for the energy of formation from the pure elements: -0.176 eV per atom.

***

16.
Here is an optimized crystal structure of Na2Ca6Ir from Alexandria. Energies are from PBE.

Lattice parameters (Å, degrees): 7.873 7.873 7.874 59.99 59.99 60.01
Element x y z (fractional)
1 Na 0.250 0.250 0.250
2 Na 0.750 0.750 0.750
3 Ca 0.253 0.253 0.746
4 Ca 0.253 0.747 0.253
5 Ca 0.747 0.253 0.747
6 Ca 0.747 0.253 0.253
7 Ca 0.253 0.747 0.747
8 Ca 0.747 0.747 0.254
9 Ir 0.500 0.500 0.500

## Properties
The calculation puts the total energy at -2.73 eV per atom. Its space-group type is Fm-3m. As for the energy of formation from the pure elements: -0.115 eV per atom.

***

17.
Here is an optimized crystal structure of Na2Ca4Ir from Alexandria. Energies are from PBE.

Lattice parameters (Å, degrees): 5.545 5.545 9.689 106.63 106.63 90.00
Element x y z (fractional)
1 Na 0.640 0.640 0.280
2 Na 0.360 0.360 0.720
3 Ca 0.844 0.844 0.687
4 Ca 0.156 0.156 0.313
5 Ca 0.000 0.500 0.000
6 Ca 0.500 0.000 0.000
7 Ir 0.000 0.000 0.000

## Properties
The calculation puts the total energy at -2.85 eV per atom. Its space-group type is I4/mmm. As for the energy of formation from the pure elements: -0.068 eV per atom.

***

18.
Here is an optimized crystal structure of Na3CaIr from Alexandria. Energies are from PBE.

Lattice parameters (Å, degrees): 5.437 5.437 5.437 90.00 90.00 90.00
Element x y z (fractional)
1 Na 0.000 0.500 0.000
2 Na 0.000 0.000 0.500
3 Na 0.500 0.000 0.000
4 Ca 0.500 0.500 0.500
5 Ir 0.000 0.000 0.000

## Properties
The value obtained for the energy relative to the lowest polymorph listed for this composition is 0.000 eV per atom. The calculation puts the total energy at -2.36 eV per atom. Its space-group type is Pm-3m. As for the energy of formation from the pure elements: 0.604 eV per atom.

***

19.
Here is an optimized crystal structure of NaCa3Ir from Alexandria. Energies are from PBE.

Lattice parameters (Å, degrees): 5.459 5.459 5.459 90.00 90.00 90.00
Element x y z (fractional)
1 Na 0.000 0.000 0.000
2 Ca 0.000 0.500 0.000
3 Ca 0.000 0.000 0.500
4 Ca 0.500 0.000 0.000
5 Ir 0.500 0.500 0.500

## Properties
The value obtained for the energy relative to the lowest polymorph listed for this composition is 1.249 eV per atom. The calculation puts the total energy at -2.18 eV per atom. Its space-group type is Pm-3m. As for the energy of formation from the pure elements: 1.061 eV per atom.

***

20.
Here is an optimized crystal structure of NaCa2Ir from Alexandria. Energies are from PBE.

Lattice parameters (Å, degrees): 3.497 3.497 9.463 90.00 90.00 90.00
Element x y z (fractional)
1 Na 0.500 0.500 0.500
2 Ca 0.000 0.000 0.829
3 Ca 0.000 0.000 0.171
4 Ir 0.500 0.500 0.000

## Properties
The calculation puts the total energy at -3.72 eV per atom. Its space-group type is P4/mmm. As for the energy of formation from the pure elements: -0.173 eV per atom.

***

21.
Here is an optimized crystal structure of NaCa3Ir from Alexandria. Energies are from PBE.

Lattice parameters (Å, degrees): 5.594 5.594 5.594 90.00 90.00 90.00
Element x y z (fractional)
1 Na 0.500 0.500 0.500
2 Ca 0.000 0.500 0.000
3 Ca 0.000 0.000 0.500
4 Ca 0.500 0.000 0.000
5 Ir 0.000 0.000 0.000

## Properties
The value obtained for the energy relative to the lowest polymorph listed for this composition is 0.000 eV per atom. The calculation puts the total energy at -3.42 eV per atom. Its space-group type is Pm-3m. As for the energy of formation from the pure elements: -0.188 eV per atom.

***

22.
Here is an optimized crystal structure of NaCa2Ir from Alexandria. Energies are from PBE.

Lattice parameters (Å, degrees): 8.569 8.569 6.908 51.67 51.67 90.00
Element x y z (fractional)
1 Na 0.500 0.500 0.000
2 Na 0.250 0.750 0.500
3 Ca 0.705 0.125 0.250
4 Ca 0.045 0.625 0.250
5 Ca 0.375 0.295 0.750
6 Ca 0.875 0.955 0.750
7 Ir 0.000 0.000 0.000
8 Ir 0.750 0.250 0.500

## Properties
The calculation puts the total energy at -3.39 eV per atom. Its space-group type is I-42d. As for the energy of formation from the pure elements: 0.151 eV per atom.

***

23.
Here is an optimized crystal structure of NaCaIr2 from Alexandria. Energies are from PBE.

Lattice parameters (Å, degrees): 7.961 7.961 6.173 49.84 49.84 90.00
Element x y z (fractional)
1 Na 0.500 0.500 0.000
2 Na 0.250 0.750 0.500
3 Ca 0.000 0.000 0.000
4 Ca 0.750 0.250 0.500
5 Ir 0.618 0.125 0.250
6 Ir 0.132 0.625 0.250
7 Ir 0.375 0.382 0.750
8 Ir 0.875 0.868 0.750

## Properties
The value obtained for the energy relative to the lowest polymorph listed for this composition is 0.000 eV per atom. The calculation puts the total energy at -4.77 eV per atom. Its space-group type is I-42d. As for the energy of formation from the pure elements: 0.492 eV per atom.

***

24.
Here is an optimized crystal structure of NaCaNdIr from Alexandria. Energies are from PBE.

Lattice parameters (Å, degrees): 5.146 5.146 5.146 60.00 60.00 60.00
Element x y z (fractional)
1 Na 0.500 0.500 0.500
2 Ca 0.250 0.250 0.250
3 Ir 0.000 0.000 0.000
4 Nd 0.750 0.750 0.750

## Properties
The calculation puts the total energy at -4.39 eV per atom. Its space-group type is F-43m. As for the energy of formation from the pure elements: -0.154 eV per atom.

***

25.
Here is an optimized crystal structure of Na3Ca2IrO6 from Alexandria. Energies are from PBE.

Lattice parameters (Å, degrees): 5.729 5.729 5.835 99.46 99.46 120.01
Element x y z (fractional)
1 Na 0.159 0.841 0.500
2 Na 0.841 0.159 0.500
3 Na 0.500 0.500 0.500
4 Ca 0.332 0.668 0.000
5 Ca 0.668 0.332 0.000
6 Ir 0.000 0.000 0.000
7 O 0.928 0.636 0.785
8 O 0.777 0.777 0.206
9 O 0.072 0.364 0.215
10 O 0.636 0.928 0.785
11 O 0.223 0.223 0.794
12 O 0.364 0.072 0.215

## Properties
Its uncorrected formation energy is -1830 meV/atom. The calculation puts the total energy at -5.71 eV per atom. Its space-group type is C2/m.

***

26.
Here is an optimized crystal structure of NaCa2IrO6 from Alexandria. Energies are from PBE.

Lattice parameters (Å, degrees): 5.533 5.873 7.965 90.00 89.08 90.00
Element x y z (fractional)
1 Na 0.500 0.000 0.000
2 Na 0.000 0.500 0.500
3 Ca 0.022 0.930 0.257
4 Ca 0.522 0.570 0.757
5 Ca 0.978 0.070 0.743
6 Ca 0.478 0.430 0.243
7 Ir 0.500 0.000 0.500
8 Ir 0.000 0.500 0.000
9 O 0.284 0.674 0.053
10 O 0.784 0.826 0.553
11 O 0.716 0.326 0.947
12 O 0.216 0.174 0.447
13 O 0.340 0.728 0.425
14 O 0.840 0.772 0.925
15 O 0.660 0.272 0.575
16 O 0.160 0.228 0.075
17 O 0.876 0.555 0.223
18 O 0.376 0.945 0.723
19 O 0.124 0.445 0.777
20 O 0.624 0.055 0.277

## Properties
Its uncorrected formation energy is -1767 meV/atom. The calculation puts the total energy at -6.16 eV per atom. Its space-group type is P2_1/c.